[1]
## TbNd2Dy6Ho (PBE)

Data for an optimized crystal structure of TbNd2Dy6Ho.

Values from the calculation:
* spin magnetization: 0.00 Bohr magnetons per cell
* energy relative to the elements: 0.12 eV/atom
* SG: C2/c, No. 15
* theoretical density: 8093 kg/m³
* E: -90.38 eV/cell

abc: 9.702 8.779 8.779
angles: 118.13 94.59 94.59
Fractional coordinates of all 20 atoms:
Tb  0.250  0.982  0.018
Tb  0.750  0.018  0.982
Nd  0.458  0.806  0.703
Nd  0.042  0.297  0.194
Nd  0.542  0.194  0.297
Nd  0.958  0.703  0.806
Dy  0.057  0.124  0.745
Dy  0.443  0.255  0.876
Dy  0.943  0.876  0.255
Dy  0.557  0.745  0.124
Dy  0.313  0.979  0.425
Dy  0.187  0.575  0.021
Dy  0.687  0.021  0.575
Dy  0.813  0.425  0.979
Dy  0.120  0.707  0.496
Dy  0.380  0.504  0.293
Dy  0.880  0.293  0.504
Dy  0.620  0.496  0.707
Ho  0.250  0.407  0.593
Ho  0.750  0.593  0.407

=====

[2]
## Tb6Nd2DyHo (PBE)

Data for an optimized crystal structure of Tb6Nd2DyHo.

Values from the calculation:
* spin magnetization: 0.00 Bohr magnetons per cell
* energy relative to the elements: 0.12 eV/atom
* SG: C2/c, No. 15
* theoretical density: 7939 kg/m³
* E: -90.67 eV/cell

abc: 9.731 8.803 8.803
angles: 118.18 94.58 94.58
Fractional coordinates of all 20 atoms:
Tb  0.057  0.125  0.745
Tb  0.443  0.255  0.875
Tb  0.943  0.875  0.255
Tb  0.557  0.745  0.125
Tb  0.312  0.979  0.424
Tb  0.188  0.576  0.021
Tb  0.688  0.021  0.576
Tb  0.812  0.424  0.979
Tb  0.120  0.708  0.498
Tb  0.380  0.502  0.292
Tb  0.880  0.292  0.502
Tb  0.620  0.498  0.708
Nd  0.458  0.807  0.703
Nd  0.042  0.297  0.193
Nd  0.542  0.193  0.297
Nd  0.958  0.703  0.807
Dy  0.250  0.982  0.018
Dy  0.750  0.018  0.982
Ho  0.250  0.407  0.593
Ho  0.750  0.593  0.407